No. 1
The following is a DFT calculation (GGA-PBE) of a relaxed CsTbIr crystal.

Structure (POSCAR):
```
CsTbIr
1.0
0.000 3.475 3.475
3.475 0.000 3.475
3.475 3.475 0.000
Cs Tb Ir
1 1 1
direct
0.000 0.000 0.000 Cs
0.250 0.250 0.250 Tb
0.750 0.750 0.750 Ir
```

ΔE to the lowest computed polymorph, meV/atom: 841
Final energy, eV/atom: -3.47
Space-group type: F-43m, No. 216



No. 2
The following is a DFT calculation (GGA-PBE) of a relaxed CsTbIr crystal.

Structure (POSCAR):
```
CsTbIr
1.0
0.000 3.571 3.571
3.571 0.000 3.571
3.571 3.571 0.000
Cs Tb Ir
1 1 1
direct
0.000 0.000 0.000 Cs
0.500 0.500 0.500 Tb
0.250 0.250 0.250 Ir
```

ΔE to the lowest computed polymorph, meV/atom: 0
Final energy, eV/atom: -4.31
Space-group type: F-43m, No. 216



No. 3
The following is a DFT calculation (GGA-PBE) of a relaxed CsTcIr crystal.

Structure (POSCAR):
```
CsTcIr
1.0
0.000 3.325 3.325
3.325 0.000 3.325
3.325 3.325 0.000
Cs Tc Ir
1 1 1
direct
0.000 0.000 0.000 Cs
0.500 0.500 0.500 Tc
0.250 0.250 0.250 Ir
```

Final energy, eV/atom: -4.70
Space-group type: F-43m, No. 216



No. 4
The following is a DFT calculation (GGA-PBE) of a relaxed CsTeIr crystal.

Structure (POSCAR):
```
CsTeIr
1.0
0.000 3.760 3.760
3.760 0.000 3.760
3.760 3.760 0.000
Cs Te Ir
1 1 1
direct
0.000 0.000 0.000 Cs
0.250 0.250 0.250 Te
0.500 0.500 0.500 Ir
```

Final energy, eV/atom: -3.20
Space-group type: F-43m, No. 216